[1]
BaAuN2: PBEsol geometry, meta-GGA SCAN.

E_tot ... -30.80 eV/atom
ΔE_f (raw) ... 1021 meV per atom
Mass density ... 9.18 g/cm³
V ... 16.385 Å³ per atom
Total magnetization ... 3.00 μB per formula unit

abc: 4.5256 4.5256 4.5256
angles: 60.00 60.00 60.00
Closest atoms and distances in Å follow each position.
Atoms (fractional coordinates):
Ba (0.0000, 0.0000, 0.0000)  8 N 2.77
Au (0.5000, 0.5000, 0.5000)  8 N 2.77
N (0.2500, 0.2500, 0.2500)  4 Ba 2.77, 4 Au 2.77
N (0.7500, 0.7500, 0.7500)  4 Ba 2.77, 4 Au 2.77

***

[2]
BaAuS2N: PBEsol geometry, meta-GGA SCAN.

E_tot ... -26.18 eV/atom
ΔE_f (raw) ... 1266 meV per atom
Mass density ... 4.10 g/cm³
V ... 33.408 Å³ per atom
Total magnetization ... 4.04 μB per formula unit

abc: 5.7514 5.7514 5.0498
angles: 90.00 90.00 90.00
Closest atoms and distances in Å follow each position.
Atoms (fractional coordinates):
Ba (0.0000, 0.0000, 0.0000)  2 N 2.52
Au (0.5000, 0.5000, 0.5000)  8 S 3.83, 4 N 4.07
S (0.0000, 0.5000, 0.0000)  2 Ba 2.88
S (0.5000, 0.0000, 0.0000)  2 Ba 2.88
N (0.0000, 0.0000, 0.5000)  2 Ba 2.52

***

[3]
BaTeAuN2: PBEsol geometry, meta-GGA SCAN.

E_tot ... -31.25 eV/atom
ΔE_f (raw) ... 1656 meV per atom
Mass density ... 5.95 g/cm³
V ... 27.336 Å³ per atom
Total magnetization ... 2.35 μB per formula unit

abc: 4.3724 4.3724 7.1493
angles: 90.00 90.00 90.00
Closest atoms and distances in Å follow each position.
Atoms (fractional coordinates):
Ba (0.0000, 0.0000, 0.0000)  4 N 2.19
Te (0.0000, 0.0000, 0.5000)  4 Au 3.09
Au (0.5000, 0.5000, 0.5000)  4 Te 3.09
N (0.0000, 0.5000, 0.0000)  2 Ba 2.19
N (0.5000, 0.0000, 0.0000)  2 Ba 2.19